# 1
A plane-wave DFT calculation with GGA-PBE was carried out for a relaxed structure of AlCu3P.

Results
- ΔE to the lowest computed polymorph (eV per atom) = 0.0000
- formation energy from the elements (eV per atom) = 0.3025

Geometry as extended XYZ:
```
5
Lattice="4.383 0.000 0.000 0.000 4.383 0.000 0.000 0.000 4.383" Properties=species:S:1:pos:R:3 pbc="T T T"
Al 2.192 2.192 2.192
Cu 2.192 0.000 0.000
Cu 0.000 0.000 2.192
Cu 0.000 2.192 0.000
P 0.000 0.000 0.000
```


# 2
A plane-wave DFT calculation with GGA-PBE was carried out for a relaxed structure of Cd5Hg2Pd12.

Results
- formation energy from the elements (eV per atom) = -0.0406

Geometry as extended XYZ:
```
19
Lattice="5.581 0.000 0.000 -2.790 6.793 0.400 0.000 -1.993 9.728" Properties=species:S:1:pos:R:3 pbc="T T T"
Hg 1.403 0.000 0.000
Hg 4.178 0.000 0.000
Pd -1.390 4.110 3.504
Pd 4.180 0.690 6.625
Pd -1.397 2.868 8.169
Pd 0.000 5.223 7.603
Pd 1.397 2.868 8.169
Pd 0.000 -0.444 2.315
Pd 1.394 1.932 1.959
Pd 2.790 5.244 7.813
Pd 2.790 -0.423 2.525
Pd 1.401 0.690 6.625
Pd 1.390 4.110 3.504
Pd 4.187 1.932 1.959
Cd 0.000 -0.997 4.864
Cd 0.000 3.015 5.656
Cd 2.790 0.761 9.300
Cd 2.790 1.785 4.472
Cd 0.000 4.039 0.828
```


# 3
A plane-wave DFT calculation with GGA-PBE was carried out for a relaxed structure of Ba2TlIn6.

Results
- formation energy from the elements (eV per atom) = -0.3168

Geometry as extended XYZ:
```
9
Lattice="-5.768 -1.585 -3.419 -1.393 -4.908 4.625 -2.331 6.407 0.970" Properties=species:S:1:pos:R:3 pbc="T T T"
In -3.053 0.870 0.003
In -6.440 -0.956 2.172
In -4.779 1.568 2.601
In -4.713 -1.654 -0.426
In -4.133 3.844 0.457
In -5.359 -3.930 1.719
Ba -6.974 1.272 -0.751
Ba -2.519 -1.358 2.927
Tl 0.000 0.000 0.000
```


# 4
A plane-wave DFT calculation with GGA-PBE was carried out for a relaxed structure of Ce2CuAs3Pt4.

Results
- formation energy from the elements (eV per atom) = -0.7998

Geometry as extended XYZ:
```
10
Lattice="-1.294 -1.870 -3.746 -2.543 -2.765 2.258 -7.573 6.465 -0.613" Properties=species:S:1:pos:R:3 pbc="T T T"
Ce -2.544 0.685 -2.027
Ce -6.946 3.462 0.670
Pt -4.132 1.060 0.898
Pt -1.918 -2.317 -0.744
Pt -5.359 3.087 -2.254
Pt 0.000 0.000 0.000
As -2.285 -0.517 1.047
As -3.786 3.232 -0.306
As -7.205 4.664 -2.404
Cu -5.704 0.915 -1.050
```


# 5
A plane-wave DFT calculation with GGA-PBE was carried out for a relaxed structure of Tm5ThHg4.

Results
- formation energy from the elements (eV per atom) = -0.3859

Geometry as extended XYZ:
```
10
Lattice="3.640 0.000 0.000 0.000 3.640 0.000 0.000 0.000 19.569" Properties=species:S:1:pos:R:3 pbc="T T T"
Hg 0.000 0.000 11.653
Hg 0.000 0.000 15.373
Hg 0.000 0.000 4.196
Hg 0.000 0.000 7.916
Tm 1.820 1.820 17.228
Tm 1.820 1.820 6.086
Tm 1.820 1.820 13.483
Tm 1.820 1.820 2.341
Tm 1.820 1.820 9.785
Th 0.000 0.000 0.000
```


# 6
A plane-wave DFT calculation with GGA-PBE was carried out for a relaxed structure of Pu2ZnSi4Rh3.

Results
- raw formation energy (meV/atom) = -689.5

Geometry as extended XYZ:
```
10
Lattice="4.129 0.000 0.000 0.000 4.129 0.000 0.000 0.000 9.991" Properties=species:S:1:pos:R:3 pbc="T T T"
Rh 0.000 0.000 4.995
Rh 2.065 0.000 8.758
Rh 0.000 2.065 1.233
Zn 2.065 2.065 4.995
Si 2.065 0.000 6.384
Si 0.000 0.000 0.000
Si 2.065 2.065 0.000
Si 0.000 2.065 3.606
Pu 0.000 2.065 7.520
Pu 2.065 0.000 2.470
```


# 7
A plane-wave DFT calculation with GGA-PBE was carried out for a relaxed structure of TbCe2P2N6.

Results
- raw formation energy (meV/atom) = -932.2

Geometry as extended XYZ:
```
11
Lattice="5.894 0.000 0.000 -2.947 5.104 0.000 0.000 0.000 5.889" Properties=species:S:1:pos:R:3 pbc="T T T"
N 3.576 3.118 4.735
N 3.859 0.449 4.735
N 1.541 3.567 1.153
N -0.912 4.656 1.153
N -0.629 1.986 1.153
N 1.406 1.538 4.735
P 0.000 3.403 1.779
P 2.947 1.701 4.110
Tb 0.000 0.000 0.000
Ce 2.947 1.701 1.007
Ce 0.000 3.403 4.882
```


# 8
A plane-wave DFT calculation with GGA-PBE was carried out for a relaxed structure of SrPb2W.

Results
- ΔE to the lowest computed polymorph (eV per atom) = 0.1872
- formation energy from the elements (eV per atom) = 0.6377

Geometry as extended XYZ:
```
4
Lattice="-1.771 -0.300 3.301 3.304 -0.464 1.730 0.575 7.936 1.029" Properties=species:S:1:pos:R:3 pbc="T T T"
W 1.242 6.169 3.365
Pb 0.887 1.274 2.730
Pb 0.542 7.470 0.969
Sr 0.302 4.164 0.540
```


# 9
A plane-wave DFT calculation with GGA-PBE was carried out for a relaxed structure of BaScAl.

Results
- ΔE to the lowest computed polymorph (eV per atom) = 0.1439
- formation energy from the elements (eV per atom) = -0.0008

Geometry as extended XYZ:
```
3
Lattice="7.082 -0.018 0.020 6.088 3.618 0.010 0.994 0.281 3.625" Properties=species:S:1:pos:R:3 pbc="T T T"
Sc 8.565 2.345 1.389
Ba 5.193 1.426 2.385
Al 1.400 0.392 3.505
```


# 10
A plane-wave DFT calculation with GGA-PBE was carried out for a relaxed structure of PrGa4NiPt2.

Results
- formation energy from the elements (eV per atom) = -0.6617

Geometry as extended XYZ:
```
8
Lattice="4.277 0.000 0.000 2.138 3.704 0.000 2.138 1.235 8.825" Properties=species:S:1:pos:R:3 pbc="T T T"
Ga 6.415 3.704 3.580
Ga 4.277 2.469 6.992
Ga 2.138 1.235 5.245
Ga 4.277 2.469 1.833
Pt 2.138 1.235 2.579
Pt 6.415 3.704 6.246
Ni 4.277 2.469 4.413
Pr 0.000 0.000 0.000
```


# 11
A plane-wave DFT calculation with GGA-PBE was carried out for a relaxed structure of Mg3ICl.

Results
- raw formation energy (meV/atom) = 18.9
- ΔE to the lowest computed polymorph (eV per atom) = 0.0000

Geometry as extended XYZ:
```
5
Lattice="-4.820 -2.453 -0.567 1.634 -3.980 3.327 -1.916 2.778 4.264" Properties=species:S:1:pos:R:3 pbc="T T T"
I -2.551 -1.827 3.512
Cl 0.000 0.000 0.000
Mg -2.410 -1.226 -0.284
Mg 0.817 -1.990 1.663
Mg -0.958 1.389 2.132
```


# 12
A plane-wave DFT calculation with GGA-PBE was carried out for a relaxed structure of CoSe2Cl.

Results
- raw formation energy (meV/atom) = 639.3
- ΔE to the lowest computed polymorph (eV per atom) = 0.8904

Geometry as extended XYZ:
```
4
Lattice="4.598 0.000 0.000 2.299 3.982 0.000 2.299 1.327 3.754" Properties=species:S:1:pos:R:3 pbc="T T T"
Cl 0.000 0.000 0.000
Co 4.598 2.654 1.877
Se 2.299 1.327 0.939
Se 6.897 3.982 2.816
```


Result set for mass density: 4.90 9.97 6.85 11.69 12.03 9.50 5.48 10.05 3.73 10.32 2.43 6.10 Mg/m³, one per record in the order listed.